NdAl2TeO8: optimized geometry, PBE-GGA.

Cell lengths 4.5591, 4.5591, 6.6618 Å; angles 90.00, 90.00, 91.83 degrees
Last column: nearest neighbours and their distance in Å.
Fractional coordinates of all 12 atoms:
1 Nd 0.0000 0.0000 0.0000  6 O 2.27-2.32
2 Al 0.5000 0.5000 0.2746  4 O 1.86-1.99
3 Al 0.5000 0.5000 0.7254  4 O 1.86-1.99
4 Te 0.0000 0.0000 0.5000  6 O 1.94-1.97
5 O 0.2077 0.2077 0.2866  1 Al 1.86, 1 Te 1.94
6 O 0.2077 0.2077 0.7134  1 Al 1.86, 1 Te 1.94
7 O 0.3013 0.6987 0.5000  1 Te 1.97, 2 Al 1.99
8 O 0.3458 0.6542 0.0000  1 O 2.02, 2 Al 2.09
9 O 0.6542 0.3458 0.0000  1 O 2.02, 2 Al 2.09
10 O 0.6987 0.3013 0.5000  1 Te 1.97, 2 Al 1.99
11 O 0.7923 0.7923 0.2866  1 Al 1.86, 1 Te 1.94
12 O 0.7923 0.7923 0.7134  1 Al 1.86, 1 Te 1.94

Formation energy without anion corrections   -2.107 eV/atom
DOS at the Fermi energy   1.3 states/eV/cell
Calculated total energy   -6.695 eV/atom
Spin magnetization   0.02 μB per atom

***

CaAc3Sn4: optimized geometry, PBE-GGA.

Cell lengths 10.0636, 10.0636, 10.0636 Å; angles 153.22, 138.75, 49.87 degrees
Last column: nearest neighbours and their distance in Å.
Fractional coordinates of all 8 atoms:
1 Ca 0.0000 0.0000 0.0000  4 Sn 3.14
2 Ac 0.1993 0.6993 0.5000  6 Sn 3.41-3.47
3 Ac 0.5000 0.5000 0.0000  8 Sn 3.59
4 Ac 0.8007 0.3007 0.5000  6 Sn 3.41-3.47
5 Sn 0.1715 0.8727 0.2988  1 Sn 2.85, 1 Ca 3.14
6 Sn 0.4262 0.1273 0.2988  1 Sn 2.85, 1 Ca 3.14
7 Sn 0.5738 0.8727 0.7012  1 Sn 2.85, 1 Ca 3.14
8 Sn 0.8285 0.1273 0.7012  1 Sn 2.85, 1 Ca 3.14

DOS at the Fermi energy   6.6 states/eV/cell
Energy of formation   -0.562 eV per atom
Calculated total energy   -4.354 eV/atom
Spin magnetization   0.00 μB per atom

***

AgRhO2F: optimized geometry, PBE-GGA.

Cell lengths 3.8656, 3.8656, 4.4649 Å; angles 90.00, 90.00, 90.00 degrees
Last column: nearest neighbours and their distance in Å.
Fractional coordinates of all 5 atoms:
1 Ag 0.0000 0.0000 0.0000  4 F 2.73, 8 O 2.95
2 Rh 0.5000 0.5000 0.5000  4 O 1.93
3 O 0.0000 0.5000 0.5000  2 Rh 1.93
4 O 0.5000 0.0000 0.5000  2 Rh 1.93
5 F 0.5000 0.5000 0.0000  2 Rh 2.23

Formation energy without anion corrections   -0.466 eV/atom
DOS at the Fermi energy   3.2 states/eV/cell
Calculated total energy   -4.864 eV/atom
Spin magnetization   0.37 μB per atom